Below is crystalline SrTbPu2O8 at its relaxed geometry, with properties calculated at the PBE level.

Cell lengths 6.562, 6.562, 6.562 Å; angles 131.00, 131.00, 71.81 degrees
Sites, in units of the cell vectors:
Sr  0.000  0.000  0.000
Tb  0.250  0.750  0.500
Pu  0.500  0.500  0.000
Pu  0.750  0.250  0.500
O  0.130  0.147  0.534
O  0.130  0.596  0.983
O  0.404  0.387  0.534
O  0.404  0.870  0.017
O  0.613  0.147  0.017
O  0.613  0.596  0.466
O  0.853  0.387  0.983
O  0.853  0.870  0.466

formation energy from raw total energies = -2.8614 eV per atom
M_tot = 5.00 μB per formula unit
density of states at the Fermi level = 11.22 states/eV per cell
symmetry = No. 119

=====

Below is crystalline LaMgAg2 at its relaxed geometry, with properties calculated at the PBE level.

Cell lengths 3.347, 3.569, 7.650 Å; angles 90.00, 90.32, 90.00 degrees
Sites, in units of the cell vectors:
La  0.000  0.000  0.000
Mg  0.000  0.000  0.500
Ag  0.500  0.500  0.295
Ag  0.500  0.500  0.705

M_tot = 0.13 μB per formula unit
density of states at the Fermi level = 2.83 states/eV per cell
formation enthalpy at 0 K = -224.2 meV/atom
symmetry = No. 10

=====

Below is crystalline ScCdB at its relaxed geometry, with properties calculated at the PBE level.

Cell lengths 4.404, 4.404, 5.610 Å; angles 90.00, 90.00, 120.00 degrees
Sites, in units of the cell vectors:
Sc  0.333  0.667  0.250
Sc  0.667  0.333  0.750
Cd  0.000  0.000  0.000
Cd  0.000  0.000  0.500
B  0.333  0.667  0.750
B  0.667  0.333  0.250

M_tot = 0.00 μB per formula unit
density of states at the Fermi level = 1.01 states/eV per cell
formation enthalpy at 0 K = 170.4 meV/atom
symmetry = No. 194

=====

Below is crystalline LaAsHAu at its relaxed geometry, with properties calculated at the PBE level.

Cell lengths 4.392, 4.392, 4.535 Å; angles 90.00, 90.00, 120.00 degrees
Sites, in units of the cell vectors:
La  0.000  0.000  0.000
As  0.333  0.667  0.391
H  0.667  0.333  0.938
Au  0.667  0.333  0.544

energy = -19.40 eV per cell
M_tot = 0.00 μB per formula unit
symmetry = No. 156

=====

Below is crystalline CsC3 at its relaxed geometry, with properties calculated at the PBE level.

Cell lengths 3.462, 3.462, 6.075 Å; angles 90.00, 90.00, 90.00 degrees
Sites, in units of the cell vectors:
Cs  0.000  0.000  0.000
C  0.000  0.000  0.500
C  0.500  0.500  0.394
C  0.500  0.500  0.606

M_tot = 0.97 μB per formula unit
density of states at the Fermi level = 0.22 states/eV per cell
formation enthalpy at 0 K = 2409.2 meV/atom
symmetry = No. 123

=====

Below is crystalline HoTh2Rh at its relaxed geometry, with properties calculated at the PBE level.

Cell lengths 3.675, 3.675, 8.093 Å; angles 90.00, 90.00, 90.00 degrees
Sites, in units of the cell vectors:
Ho  0.000  0.000  0.000
Th  0.500  0.500  0.297
Th  0.500  0.500  0.703
Rh  0.000  0.000  0.500

M_tot = 0.00 μB per formula unit
density of states at the Fermi level = 5.98 states/eV per cell
formation enthalpy at 0 K = -306.1 meV/atom
symmetry = No. 123

=====

Which formula does entry 6 have? HoTh2Rh

=====

M_tot of number 2 (LaMgAg2)? 0.13 μB per formula unit

=====

What is the M_tot in the first record? 5.00 μB per formula unit